Here is Mn2TcTe at its PBEsol-relaxed geometry from the Alexandria database. Energies are from SCAN.

Computed properties:
The symmetry is R-3m, No. 166. The calculation puts the uncorrected formation energy at 0.32 eV per atom.

Cell lengths 2.9810, 2.9810, 8.1978 Å; angles 79.52, 79.52, 60.00 degrees
Last column: nearest neighbours and their distance in Å.
Element x y z (fractional)
Mn (0.2440, 0.2440, 0.2680)  3 Tc 2.53, 3 Te 2.75
Mn (0.7560, 0.7560, 0.7320)  3 Tc 2.53, 3 Te 2.75
Tc (0.5000, 0.5000, 0.5000)  6 Mn 2.53
Te (0.0000, 0.0000, 0.0000)  6 Mn 2.75, 6 Te 2.98

Here is GaBAs2Br at its PBEsol-relaxed geometry from the Alexandria database. Energies are from SCAN.

Computed properties:
For the energy relative to the lowest polymorph listed for this composition, the calculation gives 0 meV per atom. The symmetry is P4/mmm, No. 123. The calculation puts the uncorrected formation energy at 0.67 eV per atom.

Cell lengths 4.1370, 4.1370, 6.7207 Å; angles 90.00, 90.00, 90.00 degrees
Last column: nearest neighbours and their distance in Å.
Element x y z (fractional)
As (0.0000, 0.5000, 0.0000)  2 B 2.07
As (0.5000, 0.0000, 0.0000)  2 B 2.07
B (0.0000, 0.0000, 0.0000)  4 As 2.07
Ga (0.5000, 0.5000, 0.5000)  4 Br 2.93
Br (0.0000, 0.0000, 0.5000)  4 Ga 2.93

Here is Zn2InP at its PBEsol-relaxed geometry from the Alexandria database. Energies are from SCAN.

Computed properties:
For the energy relative to the elements, the calculation gives 7.306 kcal/mol of atoms. The symmetry is Cmm2, No. 35.

Cell lengths 3.0325, 3.0325, 7.5481 Å; angles 90.00, 90.00, 91.60 degrees
Last column: nearest neighbours and their distance in Å.
Element x y z (fractional)
In (0.0000, 0.0000, 0.5008)  4 Zn 3.03-3.07, 4 In 3.03, 4 P 3.08-3.12
P (0.5000, 0.5000, 0.2036)  4 Zn 2.58-2.63
Zn (0.0000, 0.0000, 0.0076)  4 P 2.58-2.63, 4 Zn 2.69-2.73
Zn (0.5000, 0.5000, 0.7880)  4 Zn 2.69-2.73